Entry 1:
InCuI3: relaxed, GGA-PBE.

Computed properties:
- Energy relative to the lowest polymorph listed for this composition: 0.0 kJ per mole of atoms
- Uncorrected formation energy: -0.292 eV/atom

The structure in extended XYZ format:
```
10
Lattice="2.166 -11.798 0.000 2.166 11.798 0.000 0.000 0.000 7.484" Properties=species:S:1:pos:R:3 pbc="T T T"
In 2.166 7.918 3.742
In 2.166 -7.918 0.000
Cu 2.166 2.792 3.168
Cu 2.166 -2.792 6.910
I 2.166 10.147 5.923
I 2.166 5.223 2.012
I 2.166 2.454 5.729
I 2.166 -2.454 1.988
I 2.166 -5.223 5.753
I 2.166 -10.147 2.181
```

---

Entry 2:
In2Cu2I: relaxed, GGA-PBE.

Computed properties:
- Energy relative to the lowest polymorph listed for this composition: 4.1 kJ per mole of atoms
- Uncorrected formation energy: 0.219 eV/atom

The structure in extended XYZ format:
```
5
Lattice="-2.320 2.320 5.606 2.320 -2.320 5.606 2.320 2.320 -5.606" Properties=species:S:1:pos:R:3 pbc="T T T"
In 2.320 0.000 2.803
In 0.000 2.320 2.803
Cu 0.000 0.000 1.264
Cu 0.000 0.000 9.949
I 0.000 0.000 5.606
```

---

Entry 3:
InCu2I4: relaxed, GGA-PBE.

Computed properties:
- Uncorrected formation energy: -0.231 eV/atom

The structure in extended XYZ format:
```
7
Lattice="6.178 0.000 0.000 0.000 6.178 0.000 0.000 0.000 6.921" Properties=species:S:1:pos:R:3 pbc="T T T"
In 0.000 0.000 0.000
Cu 0.000 3.089 3.460
Cu 3.089 0.000 3.460
I 1.647 1.647 1.993
I 1.647 4.531 4.928
I 4.531 1.647 4.928
I 4.531 4.531 1.993
```

---

Entry 4:
In2Cu2I: relaxed, GGA-PBE.

Computed properties:
- Energy relative to the lowest polymorph listed for this composition: 0.0 kJ per mole of atoms
- Uncorrected formation energy: 0.176 eV/atom

The structure in extended XYZ format:
```
10
Lattice="7.707 0.000 0.000 0.000 7.707 0.000 0.000 0.000 3.829" Properties=species:S:1:pos:R:3 pbc="T T T"
In 1.275 2.578 0.000
In 2.578 6.432 0.000
In 5.129 1.275 0.000
In 6.432 5.129 0.000
Cu 0.880 4.734 1.915
Cu 2.973 0.880 1.915
Cu 4.734 6.826 1.915
Cu 6.826 2.973 1.915
I 0.000 0.000 1.915
I 3.853 3.853 1.915
```

---

Entry 5:
InCu2I8: relaxed, GGA-PBE.

Computed properties:
- Uncorrected formation energy: -0.192 eV/atom

The structure in extended XYZ format:
```
11
Lattice="6.103 -6.191 0.000 6.103 6.191 0.000 -2.154 0.000 6.788" Properties=species:S:1:pos:R:3 pbc="T T T"
In 0.000 0.000 0.000
Cu 0.986 0.000 4.596
Cu 9.066 0.000 2.192
I 4.403 4.221 1.305
I 2.096 0.000 2.307
I 5.649 4.221 5.483
I 3.488 0.000 5.432
I 6.564 0.000 1.356
I 4.403 -4.221 1.305
I 7.956 0.000 4.481
I 5.649 -4.221 5.483
```

---

Entry 6:
InCu3I: relaxed, GGA-PBE.

Computed properties:
- Energy relative to the lowest polymorph listed for this composition: 0.0 kJ per mole of atoms
- Uncorrected formation energy: 0.794 eV/atom

The structure in extended XYZ format:
```
5
Lattice="4.978 0.000 0.000 0.000 4.978 0.000 0.000 0.000 4.978" Properties=species:S:1:pos:R:3 pbc="T T T"
In 0.000 0.000 0.000
Cu 0.000 0.000 2.489
Cu 0.000 2.489 0.000
Cu 2.489 0.000 0.000
I 2.489 2.489 2.489
```

---

Computed values of density (unit: g cm⁻³) for the preceding records, in sequence: 4.86; 6.65; 4.71; 7.06; 4.07; 5.82.
Computed values of electronic total energy (unit: eV/cell) for the preceding records, in sequence: -25.89; -14.13; -18.75; -28.68; -25.44; -12.61.
Computed values of magnetization (unit: Bohr magnetons per cell) for the preceding records, in sequence: 0.00; 0.00; 0.00; 0.00; 0.61; 0.00.